# Ce3Pa | Alexandria via LeMat-Bulk | PBE-GGA | optimized geometry
data_Ce3Pa
_cell_length_a 3.243
_cell_length_b 4.333
_cell_length_c 7.363
_cell_angle_alpha 90.00
_cell_angle_beta 90.00
_cell_angle_gamma 90.00
_space_group_name_H-M_alt 'P m m 2'
_space_group_IT_number 25
loop_
_space_group_symop_operation_xyz
'x,y,z'
'-x,-y,z'
'-x,y,z'
'x,-y,z'
loop_
_atom_site_label
_atom_site_fract_x
_atom_site_fract_y
_atom_site_fract_z
Ce1 0.000 0.000 0.000
Ce2 0.000 0.500 0.243
Ce3 0.500 0.500 0.740
Pa1 0.500 0.000 0.497
# Crystal system: orthorhombic
# Total moment (μB/cell): 0.00
# Polymorph energy (0 for the lowest one) (meV/atom): 177.7
# Raw total energy (eV/atom): -6.605
# Calculated formation energy (eV/atom): 0.219